DFT (GGA-PBE) results for a relaxed structure of Ac2Be4Rh5.

**Energy**: -6.0676 eV per atom
**Space-group type**: Fmmm
**D(E_F)**: 3.97 states/eV/f.u.
**Density**: 9.3 g/cm³

Cell and atoms, written as POSCAR:
```
Ac2Be4Rh5
1.0
0.556 0.595 5.777
4.171 -2.758 2.828
4.083 5.163 2.021
Ac Be Rh
2 4 5
direct
0.861 0.000 0.278
0.139 0.000 0.722
0.543 0.664 0.251
0.206 0.336 0.251
0.794 0.664 0.749
0.457 0.336 0.749
0.250 0.500 0.500
0.500 0.000 0.000
0.000 0.500 0.000
0.500 0.500 0.000
0.750 0.500 0.500
```

***

DFT (GGA-PBE) results for a relaxed structure of AcBeRh3.

**Energy**: -6.4610 eV per atom
**Space-group type**: Pm-3m
**D(E_F)**: 5.63 states/eV/f.u.
**Density**: 10.6 g/cm³

Cell and atoms, written as POSCAR:
```
AcBeRh3
1.0
-2.369 -2.472 -2.772
3.247 0.219 -2.970
1.804 -3.640 1.705
Rh Ac Be
3 1 1
direct
0.000 0.500 0.000
0.000 0.000 0.500
0.500 0.000 0.000
0.500 0.500 0.500
0.000 0.000 0.000
```

***

DFT (GGA-PBE) results for a relaxed structure of AcBe2Rh2.

**Energy**: -5.8295 eV per atom
**Space-group type**: C2/c
**D(E_F)**: 1.80 states/eV/f.u.
**Density**: 8.6 g/cm³

Cell and atoms, written as POSCAR:
```
AcBe2Rh2
1.0
-1.755 5.214 1.483
0.439 1.687 5.535
4.683 4.760 -0.373
Be Ac Rh
4 2 4
direct
0.452 0.596 0.750
0.202 0.095 0.250
0.548 0.404 0.250
0.798 0.905 0.750
0.875 0.749 0.250
0.125 0.251 0.750
0.251 0.750 0.496
0.749 0.250 0.504
0.501 0.250 0.996
0.499 0.750 0.004
```

***

DFT (GGA-PBE) results for a relaxed structure of Ac2BeRh.

**Energy**: -4.9178 eV per atom
**Space-group type**: P4/mmm
**D(E_F)**: 2.78 states/eV/f.u.
**Density**: 9.0 g/cm³
**Energy above the lowest structure with this stoichiometry**: 0 meV/atom

Cell and atoms, written as POSCAR:
```
Ac2BeRh
1.0
-2.219 2.309 2.033
-2.962 -4.086 1.408
3.047 -0.764 4.193
Ac Be Rh
2 1 1
direct
0.000 0.000 0.500
0.000 0.500 0.000
0.500 0.000 0.000
0.500 0.500 0.500
```

***

DFT (GGA-PBE) results for a relaxed structure of AcBeRh2.

**Energy**: -6.1974 eV per atom
**Space-group type**: Cmmm
**D(E_F)**: 2.05 states/eV/f.u.
**Density**: 9.8 g/cm³
**Energy above the lowest structure with this stoichiometry**: 0 meV/atom

Cell and atoms, written as POSCAR:
```
AcBeRh2
1.0
-2.361 2.043 -2.937
3.237 -0.230 -2.762
-4.442 -7.049 -1.333
Rh Be Ac
4 2 2
direct
0.500 0.296 0.593
0.500 0.704 0.407
0.500 0.000 0.000
0.000 0.500 0.000
0.500 0.434 0.867
0.500 0.566 0.133
0.000 0.859 0.718
0.000 0.141 0.282
```

***

DFT (GGA-PBE) results for a relaxed structure of AcBeRh.

**Energy**: -5.5290 eV per atom
**Space-group type**: P-6m2
**D(E_F)**: 0.94 states/eV/f.u.
**Density**: 8.8 g/cm³

Cell and atoms, written as POSCAR:
```
AcBeRh
1.0
-0.404 -4.118 1.745
3.876 0.109 1.154
-2.891 1.340 2.493
Rh Be Ac
1 1 1
direct
0.167 0.667 0.333
0.167 0.000 0.000
0.667 0.333 0.667
```

***

DFT (GGA-PBE) results for a relaxed structure of Ac2BeRh.

**Energy**: -4.9091 eV per atom
**Space-group type**: Fm-3m
**D(E_F)**: 2.56 states/eV/f.u.
**Density**: 9.0 g/cm³
**Energy above the lowest structure with this stoichiometry**: 9 meV/atom

Cell and atoms, written as POSCAR:
```
Ac2BeRh
1.0
-0.464 -3.398 4.025
4.030 -0.693 3.352
-0.345 1.805 4.958
Ac Rh Be
2 1 1
direct
0.250 0.250 0.250
0.750 0.750 0.750
0.000 0.000 0.000
0.500 0.500 0.500
```

***

DFT (GGA-PBE) results for a relaxed structure of AcBe3Rh.

**Energy**: -4.7019 eV per atom
**Space-group type**: Pm-3m
**D(E_F)**: 1.79 states/eV/f.u.
**Density**: 6.9 g/cm³

Cell and atoms, written as POSCAR:
```
AcBe3Rh
1.0
-1.747 -2.566 3.147
0.326 -3.503 -2.676
4.047 -0.826 1.573
Be Ac Rh
3 1 1
direct
0.000 0.500 0.000
0.000 0.000 0.500
0.500 0.000 0.000
0.500 0.500 0.500
0.000 0.000 0.000
```

***

DFT (GGA-PBE) results for a relaxed structure of AcBeRh2.

**Energy**: -6.1096 eV per atom
**Space-group type**: R-3m
**D(E_F)**: 2.49 states/eV/f.u.
**Density**: 9.9 g/cm³
**Energy above the lowest structure with this stoichiometry**: 88 meV/atom

Cell and atoms, written as POSCAR:
```
AcBeRh2
1.0
4.001 0.000 0.000
2.000 3.465 0.000
2.000 1.155 5.366
Rh Be Ac
2 1 1
direct
0.212 0.212 0.363
0.788 0.788 0.637
0.500 0.500 0.500
0.000 0.000 0.000
```

***

DFT (GGA-PBE) results for a relaxed structure of AcBeSiRh3.

**Energy**: -6.5797 eV per atom
**Space-group type**: Cmcm
**D(E_F)**: 1.56 states/eV/f.u.
**Formation energy (no corrections)**: -0.69 eV per atom
**Density**: 8.9 g/cm³

Cell and atoms, written as POSCAR:
```
AcBeSiRh3
1.0
5.943 0.000 0.000
0.000 6.037 0.000
0.000 -3.018 5.932
Rh Be Ac Si
6 2 2 2
direct
0.000 0.736 0.000
0.000 0.264 0.000
0.500 0.264 0.000
0.250 0.200 0.399
0.750 0.800 0.601
0.500 0.736 0.000
0.250 0.011 0.023
0.750 0.989 0.977
0.250 0.741 0.481
0.750 0.259 0.519
0.750 0.606 0.211
0.250 0.394 0.789
```

***

DFT (GGA-PBE) results for a relaxed structure of AcBeSiRh6.

**Energy**: -6.4454 eV per atom
**Space-group type**: Imma
**D(E_F)**: 12.36 states/eV/f.u.
**Formation energy (no corrections)**: -0.07 eV per atom
**Density**: 9.4 g/cm³

Cell and atoms, written as POSCAR:
```
AcBeSiRh6
1.0
-0.725 -0.293 8.472
1.957 -6.239 -0.048
4.698 4.929 -3.700
Ac Rh Si Be
2 12 2 2
direct
0.920 0.670 0.840
0.080 0.330 0.160
0.764 0.014 0.528
0.853 0.639 0.243
0.351 0.601 0.702
0.147 0.896 0.757
0.649 0.399 0.298
0.147 0.361 0.757
0.389 0.639 0.243
0.389 0.104 0.243
0.853 0.104 0.243
0.236 0.986 0.472
0.611 0.361 0.757
0.611 0.896 0.757
0.500 0.500 0.000
0.500 0.000 0.000
0.500 0.000 0.500
0.000 0.000 0.500
```

***

DFT (GGA-PBE) results for a relaxed structure of Ac2UBeRh6.

**Energy**: -7.1814 eV per atom
**Space-group type**: Fm-3m
**D(E_F)**: 5.04 states/eV/f.u.
**Density**: 10.8 g/cm³

Cell and atoms, written as POSCAR:
```
Ac2UBeRh6
1.0
6.592 0.000 0.000
0.000 6.592 0.000
3.296 3.296 4.661
Ac U Rh Be
2 1 6 1
direct
0.250 0.750 0.500
0.750 0.250 0.500
0.500 0.500 0.000
0.234 0.234 0.532
0.766 0.766 0.468
0.766 0.766 0.000
0.234 0.766 0.000
0.766 0.234 0.000
0.234 0.234 0.000
0.000 0.000 0.000
```